# Tb5PrSc GGA-PBE relaxed
data_Tb5PrSc
_space_group_name_H-M_alt 'P 1 21/m 1'
_space_group_IT_number 11
_cell_length_a 9.282
_cell_length_b 3.581
_cell_length_c 13.806
_cell_angle_alpha 90.00
_cell_angle_beta 103.39
_cell_angle_gamma 90.00
loop_
_space_group_symop_operation_xyz
'x,y,z'
'-x,-y,-z'
'-x,y+1/2,-z'
'x,-y+1/2,z'
loop_
_atom_site_label
_atom_site_fract_x
_atom_site_fract_y
_atom_site_fract_z
_atom_site_occupancy
Tb1 0.010 0.250 0.375 1
Tb2 0.203 0.750 0.882 1
Tb3 0.333 0.750 0.507 1
Tb4 0.348 0.250 0.720 1
Tb5 0.418 0.250 0.083 1
Pr1 0.111 0.750 0.134 1
Sc1 0.352 0.250 0.308 1
# Volume ... 446.4 Å³/cell
# Magnetization ... 0.000 μB per cell
# Raw total energy ... -4.826 eV per atom